Here is HfBeCuSb after structural relaxation from OQMD via LeMat-Bulk. Energies are from PBE.

Cell and atoms, written as extended XYZ:
```
4
Lattice="-1.2798 -4.4144 -0.3983 0.6902 -2.9265 3.4989 -3.5913 -1.5880 2.4216" Properties=species:S:1:pos:R:3 pbc="T T T"
Be -2.0905 -4.4644 2.7611
Sb 0.0000 0.0000 0.0000
Hf -1.0452 -2.2322 1.3805
Cu -3.1357 -6.6967 4.1416
```

## Properties
The relative energy among the computed polymorphs comes out at 20 kJ/mol of formula units. The calculation puts the density at 8.9 g cm⁻³. The crystal system is cubic. The size of the total moment is 0.01 μB per formula unit.